Compound: Tb2SmCrN4
Source: Alexandria
Functional: PBE-GGA
Structure: relaxed

Cell lengths 6.019, 6.019, 11.696 Å; angles 90.00, 90.00, 147.11 degrees
Positions (direct):
Tb 0.131 0.869 0.543
Tb 0.131 0.869 0.957
Tb 0.869 0.131 0.043
Tb 0.869 0.131 0.457
Sm 0.399 0.601 0.750
Sm 0.601 0.399 0.250
Cr 0.336 0.664 0.250
Cr 0.664 0.336 0.750
N 0.075 0.925 0.750
N 0.233 0.767 0.130
N 0.233 0.767 0.370
N 0.500 0.500 0.000
N 0.500 0.500 0.500
N 0.767 0.233 0.630
N 0.767 0.233 0.870
N 0.925 0.075 0.250

## Properties
As for the space group: No. 63. The calculation puts the total energy at -133.2 eV/cell. For the density, the calculation gives 8.317 Mg/m³. Its uncorrected formation energy is -1211 meV/atom.

Compound: InSbPdRh
Source: Alexandria
Functional: PBE-GGA
Structure: relaxed

Cell lengths 4.684, 4.684, 4.684 Å; angles 60.00, 60.00, 60.00 degrees
Positions (direct):
In 0.000 0.000 0.000
Sb 0.500 0.500 0.500
Pd 0.750 0.750 0.750
Rh 0.250 0.250 0.250

## Properties
As for the space group: No. 216. The calculation puts the total energy at -20.5 eV/cell. For the density, the calculation gives 10.188 Mg/m³. Its uncorrected formation energy is -286 meV/atom.

Compound: Li2AuF4
Source: Alexandria
Functional: PBE-GGA
Structure: relaxed

Cell lengths 6.872, 6.872, 6.872 Å; angles 130.27, 130.27, 72.97 degrees
Positions (direct):
Li 0.000 0.000 0.000
Li 0.500 0.000 0.000
Li 0.500 0.000 0.500
Li 0.500 0.500 0.500
Au 0.125 0.375 0.750
Au 0.875 0.625 0.250
F 0.131 0.903 0.775
F 0.144 0.369 0.272
F 0.372 0.644 0.275
F 0.403 0.128 0.772
F 0.597 0.872 0.228
F 0.628 0.356 0.725
F 0.856 0.631 0.728
F 0.869 0.097 0.225

## Properties
As for the space group: No. 88. The calculation puts the total energy at -56.3 eV/cell. For the density, the calculation gives 5.164 Mg/m³. Its uncorrected formation energy is -1934 meV/atom.

Compound: PaNiC2
Source: Alexandria
Functional: PBE-GGA
Structure: relaxed

Cell lengths 5.501, 5.501, 5.501 Å; angles 41.32, 41.32, 41.32 degrees
Positions (direct):
Pa 0.000 0.000 0.000
Ni 0.500 0.500 0.500
C 0.383 0.383 0.383
C 0.617 0.617 0.617

## Properties
As for the space group: No. 166. The calculation puts the total energy at -31.8 eV/cell. The formation energy comes out at 1.96 eV/f.u. For the density, the calculation gives 7.944 Mg/m³.

Compound: BaLa2H
Source: Alexandria
Functional: PBE-GGA
Structure: relaxed

Cell lengths 7.280, 7.280, 7.280 Å; angles 116.48, 116.48, 96.21 degrees
Positions (direct):
Ba 0.000 0.000 0.000
Ba 0.750 0.250 0.500
La 0.305 0.625 0.180
La 0.375 0.555 0.680
La 0.445 0.125 0.820
La 0.875 0.695 0.320
H 0.250 0.750 0.500
H 0.500 0.500 0.000

## Properties
As for the space group: No. 122. The calculation puts the total energy at -30.7 eV/cell. The value obtained for the energy relative to the lowest polymorph listed for this composition is 0.0 meV/atom. For the density, the calculation gives 4.840 Mg/m³.

Compound: CaSmBiPt
Source: Alexandria
Functional: PBE-GGA
Structure: relaxed

Cell lengths 5.290, 5.290, 5.290 Å; angles 60.00, 60.00, 60.00 degrees
Positions (direct):
Ca 0.000 0.000 0.000
Sm 0.500 0.500 0.500
Bi 0.250 0.250 0.250
Pt 0.750 0.750 0.750

## Properties
As for the space group: No. 216. The calculation puts the total energy at -19.9 eV/cell. The formation energy comes out at -3.23 eV/f.u. For the density, the calculation gives 9.432 Mg/m³.

Compound: GeIr
Source: Alexandria
Functional: PBE-GGA
Structure: relaxed

Cell lengths 8.022, 7.078, 5.796 Å; angles 76.37, 59.03, 44.60 degrees
Positions (direct):
Ge 0.076 0.674 0.076
Ge 0.326 0.924 0.326
Ge 0.674 0.076 0.674
Ge 0.924 0.326 0.924
Ir 0.009 0.009 0.241
Ir 0.241 0.241 0.009
Ir 0.759 0.759 0.991
Ir 0.991 0.991 0.759

## Properties
As for the space group: No. 70. The calculation puts the total energy at -53.8 eV/cell. The formation energy comes out at 0.04 eV/f.u. For the density, the calculation gives 9.095 Mg/m³.

Compound: YCoPb2
Source: Alexandria
Functional: PBE-GGA
Structure: relaxed

Cell lengths 10.937, 10.937, 10.937 Å; angles 156.46, 156.46, 33.53 degrees
Positions (direct):
Y 0.000 0.000 0.000
Y 0.750 0.250 0.500
Co 0.250 0.750 0.500
Co 0.500 0.500 0.000
Pb 0.145 0.625 0.020
Pb 0.375 0.395 0.520
Pb 0.605 0.125 0.980
Pb 0.875 0.855 0.480

## Properties
As for the space group: No. 122. The calculation puts the total energy at -39.6 eV/cell. The value obtained for the energy relative to the lowest polymorph listed for this composition is 305.2 meV/atom. The formation energy comes out at 1.19 eV/f.u. For the density, the calculation gives 8.959 Mg/m³.

Compound: CdSnH3
Source: Alexandria
Functional: PBE-GGA
Structure: relaxed

Cell lengths 4.047, 4.047, 4.047 Å; angles 90.00, 90.00, 90.00 degrees
Positions (direct):
Cd 0.000 0.000 0.000
Sn 0.500 0.500 0.500
H 0.000 0.000 0.500
H 0.000 0.500 0.000
H 0.500 0.000 0.000

## Properties
As for the space group: No. 221. The calculation puts the total energy at -12.2 eV/cell. The value obtained for the energy relative to the lowest polymorph listed for this composition is 107.4 meV/atom. For the density, the calculation gives 5.866 Mg/m³.

Compound: Sr2AlOF
Source: Alexandria
Functional: PBE-GGA
Structure: relaxed

Cell lengths 5.870, 5.870, 4.017 Å; angles 90.00, 90.00, 90.00 degrees
Positions (direct):
Sr 0.000 0.500 0.000
Sr 0.500 0.000 0.000
Al 0.000 0.000 0.000
O 0.500 0.500 0.500
F 0.000 0.000 0.500

## Properties
As for the space group: No. 123. The calculation puts the total energy at -17.5 eV/cell. For the density, the calculation gives 2.846 Mg/m³. Its uncorrected formation energy is -719 meV/atom.

Compound: Li4Dy9Tl11
Source: Alexandria
Functional: PBE-GGA
Structure: relaxed

Cell lengths 13.600, 13.600, 3.525 Å; angles 90.00, 90.00, 111.67 degrees
Positions (direct):
Li 0.046 0.244 0.000
Li 0.244 0.046 0.000
Li 0.756 0.954 0.000
Li 0.954 0.756 0.000
Dy 0.000 0.000 0.000
Dy 0.132 0.641 0.000
Dy 0.284 0.437 0.000
Dy 0.359 0.868 0.000
Dy 0.437 0.284 0.000
Dy 0.563 0.716 0.000
Dy 0.641 0.132 0.000
Dy 0.716 0.563 0.000
Dy 0.868 0.359 0.000
Tl 0.081 0.422 0.500
Tl 0.138 0.862 0.500
Tl 0.200 0.200 0.500
Tl 0.342 0.658 0.500
Tl 0.422 0.081 0.500
Tl 0.500 0.500 0.500
Tl 0.578 0.919 0.500
Tl 0.658 0.342 0.500
Tl 0.800 0.800 0.500
Tl 0.862 0.138 0.500
Tl 0.919 0.578 0.500

## Properties
As for the space group: No. 65. The calculation puts the total energy at -81.6 eV/cell. The formation energy comes out at -6.49 eV/f.u. For the density, the calculation gives 10.245 Mg/m³.

Compound: Be2AlW
Source: Alexandria
Functional: PBE-GGA
Structure: relaxed

Cell lengths 4.566, 4.566, 4.510 Å; angles 104.53, 104.53, 35.02 degrees
Positions (direct):
Be 0.247 0.247 0.201
Be 0.753 0.753 0.799
Al 0.000 0.000 0.500
W 0.500 0.500 0.000

## Properties
As for the space group: No. 12. The calculation puts the total energy at -23.4 eV/cell. The formation energy comes out at 0.76 eV/f.u. For the density, the calculation gives 7.300 Mg/m³.